# Ba8GaAu3I4, relaxed, DFT PBE
# - formation energy (no corrections) (meV/atom) = -1007
# - calculated density (Mg/m³) = 5.38
data_Ba8GaAu3I4
_symmetry_space_group_name_H-M 'R -3 m'
_symmetry_Int_Tables_number 166
_symmetry_space_group_name_Hall '-R 3 2"'
_cell_length_a 9.5634
_cell_length_b 9.5634
_cell_length_c 26.5018
_cell_angle_alpha 90.00
_cell_angle_beta 90.00
_cell_angle_gamma 120.00
loop_
_atom_site_label
_atom_site_type_symbol
_atom_site_fract_x
_atom_site_fract_y
_atom_site_fract_z
Ba1 Ba 0.0000 0.0000 0.2369
Ba2 Ba 0.0000 0.5000 0.2368
Ga1 Ga 0.0000 0.0000 0.5000
Au1 Au 0.0000 0.5000 0.5000
I1 I 0.0000 0.0000 0.0000
I2 I 0.0000 0.5000 0.0000